# 1
An optimized crystal structure of ZrCdCl3. Source: Alexandria, functional PBE.

The energy relative to the elements, uncorrected is -1.05 eV/atom. The energy above the lowest structure with this stoichiometry comes out at 0 meV per atom. Its raw total energy is -4.05 eV/atom.

The structure belongs to space group Pm-3m (No. 221); the cell edges are 5.115, 5.115 and 5.115 Å and the angles 90.00°, 90.00° and 90.00°. Symmetry generates all atoms from Zr at (0.000, 0.000, 0.000), Cd at (0.500, 0.500, 0.500) and Cl at (0.000, 0.000, 0.500).

***

# 2
An optimized crystal structure of ZrCd2Cl. Source: Alexandria, functional PBE.

The energy relative to the elements, uncorrected is -0.08 eV/atom. The energy above the lowest structure with this stoichiometry comes out at 423 meV per atom. Its raw total energy is -3.14 eV/atom.

The structure belongs to space group I4/mmm (No. 139); the cell edges are 3.949, 3.949 and 11.029 Å and the angles 90.00°, 90.00° and 90.00°. Symmetry generates all atoms from Zr at (0.000, 0.000, 0.000), Cd at (0.000, 0.500, 0.250) and Cl at (0.000, 0.000, 0.500).

***

# 3
An optimized crystal structure of ZrCd2Cl. Source: Alexandria, functional PBE.

The energy relative to the elements, uncorrected is -0.31 eV/atom. The energy above the lowest structure with this stoichiometry comes out at 192 meV per atom. Its raw total energy is -3.37 eV/atom.

The structure belongs to space group Pmm2 (No. 25); the cell edges are 3.132, 4.961 and 5.791 Å and the angles 90.00°, 90.00° and 90.00°. Symmetry generates all atoms from Zr at (0.000, 0.000, 0.000), Cd at (0.500, 0.000, 0.486), Cd at (0.500, 0.500, 0.737) and Cl at (0.000, 0.500, 0.163).

***

Magnetic moment (computed, μB per cell): 0.000; 0.000; 0.000